Below is crystalline Ac2Tb2Mg15 at its relaxed geometry, with properties calculated at the PBE level.

As for the formation energy from the elements: -0.74 eV/f.u. The calculation puts the spin magnetization at 0.000 μB/f.u. The value obtained for the density of states at the Fermi level is 0.778 states/eV/atom.

The structure in extended XYZ format:
```
19
Lattice="-2.373 7.483 1.734 -5.285 0.692 -6.019 -6.497 -2.074 4.257" Properties=species:S:1:pos:R:3 pbc="T T T"
Ac -4.779 2.060 -0.009
Ac -9.376 4.042 -0.018
Tb -1.393 0.601 -0.003
Tb -12.761 5.501 -0.025
Mg -1.186 3.742 0.867
Mg -3.249 -1.037 2.129
Mg -2.642 0.346 -3.009
Mg -5.639 -0.115 -3.020
Mg -3.222 5.502 -0.528
Mg -5.294 0.715 3.521
Mg -4.435 2.674 -3.757
Mg -3.576 4.695 2.470
Mg -6.143 -1.267 1.259
Mg -7.974 0.247 -0.874
Mg -5.937 4.966 -2.120
Mg -6.536 3.600 2.954
Mg -6.181 5.854 0.847
Mg -8.218 1.136 2.092
Mg -7.619 2.501 -2.981
```



Below is crystalline KBaC2 at its relaxed geometry, with properties calculated at the PBE level.

As for the formation energy from the elements: 7.78 eV/f.u. The calculation puts the spin magnetization at 0.779 μB/f.u. The value obtained for the density of states at the Fermi level is 0.752 states/eV/atom. The calculation puts the polymorph energy (0 for the lowest one) at 0.00 kcal/mol of atoms.

The structure in extended XYZ format:
```
4
Lattice="0.000 3.505 3.505 3.505 0.000 3.505 3.505 3.505 0.000" Properties=species:S:1:pos:R:3 pbc="T T T"
C 1.752 1.752 1.752
C 5.257 5.257 5.257
K 0.000 0.000 0.000
Ba 3.505 3.505 3.505
```



Below is crystalline CaFe2Ir at its relaxed geometry, with properties calculated at the PBE level.

As for the formation energy from the elements: 1.13 eV/f.u. The calculation puts the spin magnetization at 5.432 μB/f.u. The value obtained for the density of states at the Fermi level is 1.137 states/eV/atom.

The structure in extended XYZ format:
```
4
Lattice="5.383 -0.148 -0.058 2.704 4.656 0.058 -3.439 -3.339 2.455" Properties=species:S:1:pos:R:3 pbc="T T T"
Ca 1.643 1.780 1.256
Ir 4.260 2.375 0.000
Fe 7.840 4.371 0.000
Fe 3.036 -0.592 1.198
```



Below is crystalline Sc5P2S at its relaxed geometry, with properties calculated at the PBE level.

The calculation puts the spin magnetization at 0.000 μB/f.u. The value obtained for the density of states at the Fermi level is 0.692 states/eV/atom. For the uncorrected formation energy, the calculation gives -1.260 eV/atom.

The structure in extended XYZ format:
```
32
Lattice="7.033 0.000 0.000 0.000 7.785 0.000 0.000 0.000 10.565" Properties=species:S:1:pos:R:3 pbc="T T T"
Sc 0.204 1.946 5.270
Sc 6.829 5.839 5.296
Sc 3.721 5.839 0.013
Sc 3.313 1.946 10.552
Sc 2.153 7.458 6.054
Sc 4.881 0.327 4.512
Sc 5.669 0.327 9.794
Sc 4.881 3.565 4.512
Sc 1.364 7.458 0.771
Sc 2.153 4.220 6.054
Sc 1.364 4.220 0.771
Sc 5.669 3.565 9.794
Sc 1.080 1.946 8.283
Sc 5.953 5.839 2.282
Sc 4.596 5.839 7.565
Sc 2.437 1.946 3.000
Sc 4.506 1.946 7.438
Sc 2.527 5.839 3.128
Sc 0.989 5.839 8.410
Sc 6.044 1.946 2.155
P 3.028 3.953 8.742
P 4.005 3.832 1.823
P 6.545 3.832 7.106
P 4.005 0.061 1.823
P 0.489 3.953 3.459
P 3.028 7.725 8.742
P 0.489 7.725 3.459
P 6.545 0.061 7.106
S 3.071 1.946 5.378
S 3.962 5.839 5.188
S 6.588 5.839 10.470
S 0.446 1.946 0.095
```



Below is crystalline TmSc2Tl at its relaxed geometry, with properties calculated at the PBE level.

As for the formation energy from the elements: -0.34 eV/f.u. The calculation puts the spin magnetization at 0.000 μB/f.u. The value obtained for the density of states at the Fermi level is 1.223 states/eV/atom. The calculation puts the polymorph energy (0 for the lowest one) at 2.11 kcal/mol of atoms.

The structure in extended XYZ format:
```
8
Lattice="-2.733 -1.365 3.186 5.657 1.338 2.370 -2.347 7.667 1.272" Properties=species:S:1:pos:R:3 pbc="T T T"
Tm -0.100 1.991 0.768
Tm 0.677 5.649 6.061
Sc 3.041 0.884 2.990
Sc 2.113 3.916 3.493
Sc -2.464 6.755 3.839
Sc -1.536 3.724 3.336
Tl 0.371 1.589 4.059
Tl 0.206 6.051 2.770
```



Below is crystalline Cu3NiRh at its relaxed geometry, with properties calculated at the PBE level.

As for the formation energy from the elements: 0.17 eV/f.u. The calculation puts the spin magnetization at 0.000 μB/f.u. The value obtained for the density of states at the Fermi level is 0.942 states/eV/atom. The calculation puts the polymorph energy (0 for the lowest one) at 0.00 kcal/mol of atoms.

The structure in extended XYZ format:
```
10
Lattice="-1.844 4.511 -0.652 0.812 -2.293 -5.717 -3.099 -3.639 -3.969" Properties=species:S:1:pos:R:3 pbc="T T T"
Cu -2.810 -4.446 -8.702
Cu -3.048 -1.955 -9.333
Cu -0.102 0.109 -1.135
Cu -1.696 2.134 -1.161
Cu -2.219 -1.149 -4.889
Cu -2.490 1.330 -5.505
Ni -1.306 0.703 -3.354
Ni -1.044 -1.780 -2.733
Rh -1.821 -2.584 -7.133
Rh -3.468 -0.578 -7.135
```



Below is crystalline KTa2MnAs at its relaxed geometry, with properties calculated at the PBE level.

As for the formation energy from the elements: 13.99 eV/f.u. The calculation puts the spin magnetization at 1.688 μB/f.u. The value obtained for the density of states at the Fermi level is 1.050 states/eV/atom.

The structure in extended XYZ format:
```
5
Lattice="-1.587 2.825 3.584 0.596 -3.129 2.730 4.512 1.542 0.783" Properties=species:S:1:pos:R:3 pbc="T T T"
As 1.760 0.619 3.549
Mn 0.298 -1.564 1.365
K 0.000 0.000 0.000
Ta 2.256 0.771 0.391
Ta -0.794 1.413 1.792
```



Below is crystalline Sr2MgH6Ir at its relaxed geometry, with properties calculated at the PBE level.

The calculation puts the spin magnetization at 0.000 μB/f.u. The value obtained for the density of states at the Fermi level is 0.173 states/eV/atom. Its total energy is -3.816 eV/atom.

The structure in extended XYZ format:
```
10
Lattice="-3.096 -0.937 -6.720 4.544 -0.104 -2.079 -2.127 -4.241 1.571" Properties=species:S:1:pos:R:3 pbc="T T T"
Sr -0.526 -3.050 -0.996
Sr -0.153 -2.232 -6.232
Mg -1.548 -0.468 -3.360
H -2.651 -2.192 -5.685
H -3.756 -4.395 -4.869
H -1.395 -4.449 -5.948
H 3.077 -0.888 -2.359
H 0.716 -0.833 -1.279
H 1.972 -3.091 -1.543
Ir 0.000 0.000 0.000
```



Below is crystalline Zr2AgO at its relaxed geometry, with properties calculated at the PBE level.

The calculation puts the spin magnetization at 0.000 μB/f.u. The value obtained for the density of states at the Fermi level is 0.918 states/eV/atom. For the uncorrected formation energy, the calculation gives -1.116 eV/atom.

The structure in extended XYZ format:
```
4
Lattice="-0.828 2.144 2.417 -2.878 -0.370 1.644 2.028 -3.540 6.136" Properties=species:S:1:pos:R:3 pbc="T T T"
Zr 1.462 -2.823 5.306
Zr -0.661 -0.136 2.196
Ag -0.833 -0.890 5.106
O -0.456 -2.340 8.823
```



Below is crystalline NiSn at its relaxed geometry, with properties calculated at the PBE level.

As for the formation energy from the elements: 0.15 eV/f.u. The calculation puts the spin magnetization at 0.000 μB/f.u. The value obtained for the density of states at the Fermi level is 0.460 states/eV/atom.

The structure in extended XYZ format:
```
32
Lattice="-7.032 -0.604 -2.337 4.004 -0.655 -11.881 0.405 -6.657 0.503" Properties=species:S:1:pos:R:3 pbc="T T T"
Ni 3.597 -0.588 -10.673
Ni 0.407 -0.067 -1.208
Ni 1.753 -2.373 -10.577
Ni 0.939 -2.240 -8.161
Ni 1.797 -3.589 -4.481
Ni 2.611 -3.722 -6.896
Ni -0.046 -5.374 -4.384
Ni -0.860 -5.241 -1.969
Ni 0.284 -4.219 -11.590
Ni -2.906 -3.697 -2.124
Ni -1.560 -6.003 -11.493
Ni -2.374 -5.870 -9.078
Ni -1.921 -0.563 -5.901
Ni -1.107 -0.696 -8.316
Ni -3.764 -2.348 -5.804
Ni -4.578 -2.214 -3.389
Sn -2.136 -0.183 -0.710
Sn -4.896 -0.421 -1.627
Sn -3.550 -2.727 -10.996
Sn -0.789 -2.490 -10.079
Sn 0.069 -3.839 -6.398
Sn -2.692 -4.077 -7.316
Sn -5.349 -5.728 -4.804
Sn -2.589 -5.491 -3.886
Sn -5.449 -3.814 -1.626
Sn -1.178 -3.447 -0.207
Sn 0.169 -5.753 -9.576
Sn 2.929 -5.516 -8.659
Sn -3.649 -0.813 -7.818
Sn 0.622 -0.446 -6.399
Sn -2.036 -2.098 -3.887
Sn 0.725 -1.860 -2.970
```



Below is crystalline La2Nd2Er5 at its relaxed geometry, with properties calculated at the PBE level.

As for the formation energy from the elements: 1.30 eV/f.u. The calculation puts the spin magnetization at 0.000 μB/f.u. The value obtained for the density of states at the Fermi level is 1.740 states/eV/atom. The calculation puts the polymorph energy (0 for the lowest one) at 0.00 kcal/mol of atoms.

The structure in extended XYZ format:
```
9
Lattice="3.419 0.000 -0.705 -0.655 9.289 -3.177 0.532 -5.125 11.220" Properties=species:S:1:pos:R:3 pbc="T T T"
La 2.627 4.826 4.098
La 0.668 -0.663 3.240
Nd 1.776 1.229 8.611
Nd 1.519 2.934 -1.274
Er 1.953 5.689 0.826
Er 1.343 -1.525 6.511
Er 2.839 1.462 5.123
Er 0.457 2.702 2.214
Er 0.000 0.000 0.000
```



Below is crystalline Ac2ErPb at its relaxed geometry, with properties calculated at the PBE level.

As for the formation energy from the elements: -0.72 eV/f.u. The calculation puts the spin magnetization at 0.000 μB/f.u. The value obtained for the density of states at the Fermi level is 1.096 states/eV/atom. The calculation puts the polymorph energy (0 for the lowest one) at 1.31 kcal/mol of atoms.

The structure in extended XYZ format:
```
4
Lattice="-4.400 -0.857 -0.076 0.815 -4.279 1.064 -0.452 1.683 7.117" Properties=species:S:1:pos:R:3 pbc="T T T"
Pb -1.793 -2.568 0.494
Ac -0.345 1.287 5.440
Ac -0.106 0.397 1.676
Er -2.018 -1.726 4.052
```